No. 1
KPb3Au3: optimized geometry, PBE-GGA.

abc: 7.9632 7.9632 7.9632
angles: 90.00 90.00 90.00
Closest atoms and distances in Å follow each position.
Space group Pm-3n (No. 223)
One atom of each set of equivalent atoms:
K 0.0000 0.0000 0.0000 x2  12 Pb 4.45, 12 Au 4.45
Pb 0.0000 0.2500 0.5000 x6  4 Au 2.82
Au 0.0000 0.5000 0.2500 x6  4 Pb 2.82

Summary:
* energy above the most stable polymorph in this dataset: 128.8 meV/atom
* V: 36.07 A^3/atom
* DFT formation energy: -0.01 eV/atom

---

No. 2
Te2SNF: optimized geometry, PBE-GGA.

abc: 5.5734 5.5734 3.2567
angles: 90.00 90.00 90.00
Closest atoms and distances in Å follow each position.
Space group P4/mmm (No. 123)
One atom of each set of equivalent atoms:
Te 0.0000 0.5000 0.0000 x2  2 S 2.79
S 0.0000 0.0000 0.0000 x1  2 N 1.63
N 0.0000 0.0000 0.5000 x1  2 S 1.63
F 0.5000 0.5000 0.5000 x1  8 Te 3.23, 2 F 3.26

Summary:
* ΔE_f (raw): 656 meV per atom
* energy above the most stable polymorph in this dataset: 0.0 meV/atom
* V: 20.23 A^3/atom

---

No. 3
SmDy5Mg4: optimized geometry, PBE-GGA.

abc: 3.7297 3.7297 20.3576
angles: 90.00 90.00 90.00
Closest atoms and distances in Å follow each position.
Space group P4/mmm (No. 123)
One atom of each set of equivalent atoms:
Sm 0.0000 0.0000 0.0000 x1  8 Dy 3.59, 4 Sm 3.73
Dy 0.5000 0.5000 0.1200 x2  4 Mg 3.28, 4 Sm 3.59
Dy 0.5000 0.5000 0.3107 x2  8 Mg 3.26-3.27
Dy 0.5000 0.5000 0.5000 x1  8 Mg 3.27
Mg 0.0000 0.0000 0.2161 x2  8 Dy 3.27-3.28
Mg 0.0000 0.0000 0.4048 x2  8 Dy 3.26-3.27

Summary:
* V: 28.32 A^3/atom
* DFT formation energy: -0.05 eV/atom

---

No. 4
CaAl10Tc2: optimized geometry, PBE-GGA.

abc: 9.1474 10.3949 9.2521
angles: 90.00 90.00 90.00
Closest atoms and distances in Å follow each position.
Space group Cmcm (No. 63)
One atom of each set of equivalent atoms:
Ca 0.0000 0.1261 0.2500 x4  14 Al 3.15-3.39, 4 Tc 3.50
Al 0.0000 0.1551 0.5985 x8  6 Al 2.62-2.86, 2 Tc 2.65
Al 0.0000 0.3755 0.0383 x8  6 Al 2.62-2.87, 2 Tc 2.66
Al 0.1559 0.3731 0.7500 x8  5 Al 2.68-2.86, 2 Tc 2.78
Al 0.2292 0.0000 0.0000 x8  2 Tc 2.61, 8 Al 2.74-2.86
Al 0.2287 0.3638 0.2500 x8  2 Tc 2.61, 8 Al 2.68-2.87
Tc 0.2500 0.2500 0.0000 x8  10 Al 2.61-2.78

Summary:
* V: 16.92 A^3/atom
* DFT formation energy: -0.35 eV/atom

---

No. 5
NaCo3: optimized geometry, PBE-GGA.

abc: 6.0421 6.0421 4.0159
angles: 90.00 90.00 120.00
Closest atoms and distances in Å follow each position.
Space group P6_3/mmc (No. 194)
One atom of each set of equivalent atoms:
Na 0.3333 0.6667 0.2500 x2  12 Co 2.92-3.05
Co 0.1302 0.2603 0.7500 x6  6 Co 2.36-2.43

Summary:
* V: 15.87 A^3/atom
* DFT formation energy: 0.64 eV/atom

---

No. 6
K2HfF6: optimized geometry, PBE-GGA.

abc: 6.5126 6.5126 3.4956
angles: 90.00 90.00 120.00
Closest atoms and distances in Å follow each position.
Space group P-62m (No. 189)
One atom of each set of equivalent atoms:
K 0.3333 0.6667 0.0000 x2  9 F 2.64-2.83
Hf 0.0000 0.0000 0.5000 x1  9 F 2.07-2.25
F 0.0000 0.2165 0.0000 x3  2 Hf 2.25, 2 F 2.44
F 0.0000 0.6814 0.5000 x3  1 Hf 2.07

Summary:
* ΔE_f (raw): -3394 meV per atom
* V: 14.27 A^3/atom

---

No. 7
Ti2MnAu: optimized geometry, PBE-GGA.

abc: 2.9831 2.9831 6.8432
angles: 90.00 90.00 90.00
Closest atoms and distances in Å follow each position.
Space group P4/mmm (No. 123)
One atom of each set of equivalent atoms:
Ti 0.0000 0.0000 0.2096 x2  4 Mn 2.55
Mn 0.5000 0.5000 0.0000 x1  8 Ti 2.55
Au 0.5000 0.5000 0.5000 x1  8 Ti 2.90, 4 Au 2.98

Summary:
* V: 15.22 A^3/atom
* DFT formation energy: -0.36 eV/atom

---

No. 8
La7DyTm4: optimized geometry, PBE-GGA.

abc: 6.3765 7.3203 9.0486
angles: 89.93 76.36 89.95
Closest atoms and distances in Å follow each position.
Space group P-1 (No. 2)
One atom of each set of equivalent atoms:
La 0.0000 0.0000 0.0000 x1  8 La 3.64-3.70, 2 Tm 3.64, 2 Dy 3.66
La 0.2238 0.9991 0.3341 x2  7 La 3.59-3.71, 5 Tm 3.65-3.71
La 0.2815 0.7478 0.6638 x2  6 Tm 3.58-3.74, 5 La 3.59-3.71, 1 Dy 3.63
La 0.5003 0.2569 0.9967 x2  7 La 3.56-3.76, 3 Tm 3.59-3.64, 2 Dy 3.65-3.66
Dy 0.0000 0.5000 0.0000 x1  4 Tm 3.58-3.62, 8 La 3.63-3.66
Tm 0.2153 0.5005 0.3357 x2  4 Tm 3.54-3.69, 7 La 3.59-3.69, 1 Dy 3.62
Tm 0.2761 0.2593 0.6671 x2  1 Dy 3.58, 3 Tm 3.58-3.69, 8 La 3.58-3.74

Summary:
* V: 34.20 A^3/atom
* DFT formation energy: 0.01 eV/atom

---

No. 9
LiCu2Hg: optimized geometry, PBE-GGA.

abc: 3.7457 3.8619 4.0569
angles: 90.00 90.00 90.00
Closest atoms and distances in Å follow each position.
Space group Pmmm (No. 47)
One atom of each set of equivalent atoms:
Li 0.0000 0.0000 0.0000 x1  4 Hg 2.69, 8 Cu 2.76-2.80
Cu 0.0000 0.5000 0.5000 x1  4 Cu 2.69, 4 Hg 2.76, 4 Li 2.80
Cu 0.5000 0.0000 0.5000 x1  4 Cu 2.69, 4 Li 2.76, 4 Hg 2.80
Hg 0.5000 0.5000 0.0000 x1  4 Li 2.69, 8 Cu 2.76-2.80

Summary:
* V: 14.67 A^3/atom
* DFT formation energy: -0.04 eV/atom

---

No. 10
LiCrAs: optimized geometry, PBE-GGA.

abc: 3.4871 3.4871 7.8257
angles: 90.00 90.00 90.00
Closest atoms and distances in Å follow each position.
Space group I4mm (No. 107)
One atom of each set of equivalent atoms:
Li 0.0000 0.0000 0.0000 x2  1 Cr 2.49, 1 As 2.53
Cr 0.0000 0.0000 0.3184 x2  1 Li 2.49, 4 As 2.70
As 0.0000 0.0000 0.6763 x2  5 Li 2.53-2.83, 5 Cr 2.70-2.80

Summary:
* V: 15.86 A^3/atom
* DFT formation energy: -0.08 eV/atom

---

No. 11
LaTbY2Er: optimized geometry, PBE-GGA.

abc: 3.6098 5.5829 8.6673
angles: 90.00 90.00 90.00
Closest atoms and distances in Å follow each position.
Space group Pmmm (No. 47)
One atom of each set of equivalent atoms:
La 0.0000 0.0000 0.0000 x1  4 Tb 3.32, 2 La 3.61
Tb 0.5000 0.5000 0.0000 x1  4 Y 3.32, 4 La 3.32, 2 Tb 3.61
Y 0.0000 0.5000 0.3208 x2  1 Y 3.11, 2 Tb 3.32
Er 0.5000 0.0000 0.5000 x1  2 Er 3.61, 8 Y 3.67

Summary:
* V: 34.93 A^3/atom
* DFT formation energy: 0.28 eV/atom

---

No. 12
Y2TaBr: optimized geometry, PBE-GGA.

abc: 11.5497 3.2659 5.5993
angles: 90.00 104.75 90.00
Closest atoms and distances in Å follow each position.
Space group Cm (No. 8)
One atom of each set of equivalent atoms:
Y 0.0000 0.0000 0.0000 x2  1 Br 2.93, 2 Ta 3.07, 2 Y 3.27
Y 0.2046 0.0000 0.6239 x2  3 Ta 3.09-3.26, 2 Y 3.27, 4 Br 3.31-3.39
Ta 0.4702 0.0000 0.5233 x2  2 Br 3.02, 5 Y 3.07-3.26, 2 Ta 3.27
Br 0.2807 0.5000 0.1730 x2  1 Y 2.93, 2 Ta 3.02, 2 Br 3.27

Summary:
* ΔE_f (raw): 4 meV per atom
* energy above the most stable polymorph in this dataset: 284.2 meV/atom
* V: 25.53 A^3/atom

---

No. 13
K2BePb: optimized geometry, PBE-GGA.

abc: 3.8183 5.6512 6.1030
angles: 90.00 94.51 90.00
Closest atoms and distances in Å follow each position.
Space group P2/m (No. 10)
One atom of each set of equivalent atoms:
K 0.0846 0.0000 0.2556 x2  2 K 3.10-3.14
Be 0.5000 0.5000 0.5000 x1  2 Pb 3.05
Pb 0.5000 0.5000 0.0000 x1  2 Be 3.05

Summary:
* energy above the most stable polymorph in this dataset: 396.7 meV/atom
* V: 32.82 A^3/atom
* DFT formation energy: 0.56 eV/atom

---

No. 14
Ta4Ti2Re: optimized geometry, PBE-GGA.

abc: 2.8630 7.0440 7.0585
angles: 118.04 97.76 97.93
Closest atoms and distances in Å follow each position.
Space group P-1 (No. 2)
One atom of each set of equivalent atoms:
Ta 0.0507 0.2804 0.4268 x2  1 Re 2.78, 3 Ti 2.80-3.09, 5 Ta 2.84-2.86
Ta 0.3723 0.4227 0.1391 x2  1 Re 2.76, 5 Ta 2.78-2.86, 2 Ti 2.80-2.86
Ti 0.2542 0.8616 0.2734 x2  1 Re 2.67, 4 Ta 2.80-2.91, 3 Ti 2.86
Re 0.5000 0.0000 0.0000 x1  2 Ti 2.67, 4 Ta 2.76-2.78, 2 Re 2.86

Summary:
* V: 17.31 A^3/atom
* DFT formation energy: -0.09 eV/atom

---

No. 15
LaDy2F11: optimized geometry, PBE-GGA.

abc: 8.4479 10.3535 11.7519
angles: 90.00 90.00 90.00
Closest atoms and distances in Å follow each position.
Space group Ibam (No. 72)
One atom of each set of equivalent atoms:
La 0.0000 0.0000 0.2500 x4  8 F 2.42-2.44
Dy 0.1557 0.3115 0.0000 x8  7 F 2.19-2.35
F 0.0000 0.5000 0.0000 x4  2 F 2.24, 2 Dy 2.35
F 0.1071 0.1755 0.1385 x16  1 Dy 2.19, 1 La 2.42
F 0.1104 0.3032 0.5000 x8  1 F 2.24, 2 Dy 2.25-2.31
F 0.2133 0.0784 0.3710 x16  1 Dy 2.20, 1 La 2.44

Summary:
* ΔE_f (raw): -3460 meV per atom
* V: 18.36 A^3/atom

---

No. 16
Ac5NdHg6: optimized geometry, PBE-GGA.

abc: 5.6637 17.0415 8.0338
angles: 90.00 90.00 90.00
Closest atoms and distances in Å follow each position.
Space group Cmmm (No. 65)
One atom of each set of equivalent atoms:
Ac 0.0000 0.0000 0.0000 x2  8 Hg 3.44-3.51
Ac 0.0000 0.3320 0.0000 x4  8 Hg 3.50-3.55
Ac 0.0000 0.3340 0.5000 x4  8 Hg 3.43-3.52
Nd 0.0000 0.0000 0.5000 x2  8 Hg 3.39-3.43
Hg 0.0000 0.1623 0.2553 x8  1 Nd 3.39, 7 Ac 3.44-3.55
Hg 0.0000 0.5000 0.2590 x4  6 Ac 3.43-3.54, 2 Nd 3.43

Summary:
* V: 32.31 A^3/atom
* DFT formation energy: -0.47 eV/atom

---

No. 17
Mg2InRh: optimized geometry, PBE-GGA.

abc: 4.1064 4.1258 8.4738
angles: 90.00 90.00 90.00
Closest atoms and distances in Å follow each position.
Space group Imm2 (No. 44)
One atom of each set of equivalent atoms:
Mg 0.0000 0.0000 0.0000 x2  4 In 2.91, 4 Rh 2.94-2.96, 4 Mg 2.95
Mg 0.0000 0.5000 0.2494 x2  4 Rh 2.91, 4 Mg 2.95, 4 In 2.95
In 0.0000 0.0000 0.4988 x2  8 Mg 2.91-2.95, 4 Rh 2.95-2.96
Rh 0.0000 0.5000 0.7490 x2  8 Mg 2.91-2.96, 4 In 2.95-2.96

Summary:
* V: 17.95 A^3/atom
* DFT formation energy: -0.35 eV/atom

---

No. 18
Tb8Nd3Th3: optimized geometry, PBE-GGA.

abc: 5.6961 10.7506 15.1401
angles: 90.00 90.00 90.00
Closest atoms and distances in Å follow each position.
Space group Immm (No. 71)
One atom of each set of equivalent atoms:
Tb 0.0000 0.1579 0.2246 x8  6 Tb 3.25-3.55, 2 Th 3.58
Tb 0.0000 0.3390 0.3963 x8  5 Tb 3.14-3.46
Nd 0.0000 0.0000 0.0000 x2  2 Nd 3.34, 8 Tb 3.68
Nd 0.0000 0.3105 0.0000 x4  1 Nd 3.34, 4 Th 3.47-3.50, 4 Tb 3.63
Th 0.0000 0.0000 0.5000 x2  4 Nd 3.50
Th 0.0000 0.5000 0.1858 x4  2 Nd 3.47, 8 Tb 3.58-3.72

Summary:
* V: 33.11 A^3/atom
* DFT formation energy: 0.16 eV/atom

---

No. 19
NaLa2AlTc: optimized geometry, PBE-GGA.

abc: 5.4520 5.4520 5.0844
angles: 90.00 90.00 90.00
Closest atoms and distances in Å follow each position.
Space group P4/mmm (No. 123)
One atom of each set of equivalent atoms:
Na 0.0000 0.0000 0.0000 x1  8 La 3.73, 4 Al 3.86
La 0.0000 0.5000 0.5000 x2  2 Tc 2.73
Al 0.5000 0.5000 0.0000 x1  2 Tc 2.54
Tc 0.5000 0.5000 0.5000 x1  2 Al 2.54, 4 La 2.73

Summary:
* V: 30.23 A^3/atom
* DFT formation energy: -0.02 eV/atom